Version a
This record from Alexandria via LeMat-Bulk describes a geometry-optimized NaBe3Cl structure. The functional is GGA-PBE.

abc: 5.092 5.092 5.092
angles: 90.00 90.00 90.00
Atoms (fractional coordinates):
Na  0.000  0.000  0.000
Be  0.000  0.000  0.500
Be  0.000  0.500  0.000
Be  0.500  0.000  0.000
Cl  0.500  0.500  0.500

Values from the calculation:
Total magnetic moment   0.000 μB/atom
Calculated density   1.075 g/cm3
Crystal system   cubic
N(E_F)   1.23 states/eV/cell

---

Version b
This record from Alexandria via LeMat-Bulk describes a geometry-optimized NaBe3Cl structure. The functional is GGA-PBE.

abc: 4.442 4.442 4.442
angles: 90.00 90.00 90.00
Atoms (fractional coordinates):
Na  0.000  0.000  0.000
Be  0.000  0.500  0.500
Be  0.500  0.000  0.500
Be  0.500  0.500  0.000
Cl  0.500  0.500  0.500

Values from the calculation:
Total magnetic moment   0.000 μB/atom
Calculated density   1.620 g/cm3
Crystal system   cubic
N(E_F)   2.53 states/eV/cell

---

Quick one: most stable of them? version b

---

Version a
This record from Alexandria via LeMat-Bulk describes a geometry-optimized NaBe2ClO structure. The functional is GGA-PBE.

abc: 5.547 5.547 4.796
angles: 90.00 90.00 90.00
Atoms (fractional coordinates):
Na  0.000  0.000  0.000
Be  0.000  0.500  0.000
Be  0.500  0.000  0.000
Cl  0.000  0.000  0.500
O  0.500  0.500  0.500

Values from the calculation:
Total magnetic moment   0.057 μB/atom
Calculated density   1.041 g/cm3
Crystal system   tetragonal
N(E_F)   10.71 states/eV/cell

---

Version b
This record from Alexandria via LeMat-Bulk describes a geometry-optimized NaBe2ClO structure. The functional is GGA-PBE.

abc: 3.440 3.440 8.361
angles: 90.00 90.00 90.00
Atoms (fractional coordinates):
Na  0.000  0.000  0.000
Be  0.000  0.500  0.500
Be  0.500  0.000  0.500
Cl  0.500  0.500  0.000
O  0.000  0.000  0.500

Values from the calculation:
Total magnetic moment   0.000 μB/atom
Calculated density   1.552 g/cm3
Crystal system   tetragonal
N(E_F)   0.00 states/eV/cell

---

Quick one: most stable of them? version b

---

Version a
This record from Alexandria via LeMat-Bulk describes a geometry-optimized NaBeP2Cl structure. The functional is GGA-PBE.

abc: 4.040 4.040 7.807
angles: 90.00 90.00 90.00
Atoms (fractional coordinates):
Na  0.000  0.000  0.000
Be  0.500  0.500  0.500
P  0.000  0.500  0.500
P  0.500  0.000  0.500
Cl  0.500  0.500  0.000

Values from the calculation:
Total magnetic moment   0.000 μB/atom
Calculated density   1.686 g/cm3
Crystal system   tetragonal
N(E_F)   1.06 states/eV/cell

---

Version b
This record from Alexandria via LeMat-Bulk describes a geometry-optimized NaBeP2Cl structure. The functional is GGA-PBE.

abc: 5.050 5.050 4.853
angles: 90.00 90.00 90.00
Atoms (fractional coordinates):
Na  0.000  0.000  0.000
Be  0.500  0.500  0.500
P  0.000  0.500  0.000
P  0.500  0.000  0.000
Cl  0.000  0.000  0.500

Values from the calculation:
Total magnetic moment   0.362 μB/atom
Calculated density   1.737 g/cm3
Crystal system   tetragonal
N(E_F)   3.51 states/eV/cell

---

Quick one: most stable of them? version a

---

Version a
This record from Alexandria via LeMat-Bulk describes a geometry-optimized NaBeSCl2 structure. The functional is GGA-PBE.

abc: 4.906 4.906 5.248
angles: 90.00 90.00 90.00
Atoms (fractional coordinates):
Na  0.000  0.000  0.000
Be  0.500  0.500  0.500
S  0.000  0.000  0.500
Cl  0.000  0.500  0.000
Cl  0.500  0.000  0.000

Values from the calculation:
Total magnetic moment   0.214 μB/atom
Calculated density   1.775 g/cm3
Crystal system   tetragonal
N(E_F)   3.80 states/eV/cell

---

Version b
This record from Alexandria via LeMat-Bulk describes a geometry-optimized NaBeSCl2 structure. The functional is GGA-PBE.

abc: 4.893 4.893 4.157
angles: 90.00 90.00 90.00
Atoms (fractional coordinates):
Na  0.000  0.000  0.000
Be  0.500  0.500  0.500
S  0.500  0.500  0.000
Cl  0.000  0.500  0.500
Cl  0.500  0.000  0.500

Values from the calculation:
Total magnetic moment   0.190 μB/atom
Calculated density   2.252 g/cm3
Crystal system   tetragonal
N(E_F)   1.83 states/eV/cell

---

Quick one: most stable of them? version b

---

Version a
This record from Alexandria via LeMat-Bulk describes a geometry-optimized NaBeS2Cl structure. The functional is GGA-PBE.

abc: 4.066 4.066 6.795
angles: 90.00 90.00 90.00
Atoms (fractional coordinates):
Na  0.000  0.000  0.000
Be  0.500  0.500  0.500
S  0.000  0.500  0.500
S  0.500  0.000  0.500
Cl  0.500  0.500  0.000

Values from the calculation:
Total magnetic moment   0.000 μB/atom
Calculated density   1.945 g/cm3
Crystal system   tetragonal
N(E_F)   2.18 states/eV/cell

---

Version b
This record from Alexandria via LeMat-Bulk describes a geometry-optimized NaBeS2Cl structure. The functional is GGA-PBE.

abc: 5.075 5.075 4.852
angles: 90.00 90.00 90.00
Atoms (fractional coordinates):
Na  0.000  0.000  0.000
Be  0.500  0.500  0.500
S  0.000  0.500  0.000
S  0.500  0.000  0.000
Cl  0.000  0.000  0.500

Values from the calculation:
Total magnetic moment   0.427 μB/atom
Calculated density   1.748 g/cm3
Crystal system   tetragonal
N(E_F)   5.29 states/eV/cell

---

Quick one: most stable of them? version a

---

Version a
This record from Alexandria via LeMat-Bulk describes a geometry-optimized BeNbCl2 structure. The functional is GGA-PBE.

abc: 6.252 6.252 6.252
angles: 90.00 90.00 90.00
Atoms (fractional coordinates):
Be  0.000  0.000  0.000
Be  0.000  0.500  0.500
Be  0.500  0.000  0.500
Be  0.500  0.500  0.000
Nb  0.000  0.000  0.500
Nb  0.000  0.500  0.000
Nb  0.500  0.000  0.000
Nb  0.500  0.500  0.500
Cl  0.250  0.250  0.250
Cl  0.250  0.250  0.750
Cl  0.250  0.750  0.250
Cl  0.250  0.750  0.750
Cl  0.750  0.250  0.250
Cl  0.750  0.250  0.750
Cl  0.750  0.750  0.250
Cl  0.750  0.750  0.750

Values from the calculation:
Total magnetic moment   0.000 μB/atom
Calculated density   4.698 g/cm3
Crystal system   cubic
N(E_F)   6.93 states/eV/cell

---

Version b
This record from Alexandria via LeMat-Bulk describes a geometry-optimized BeNbCl2 structure. The functional is GGA-PBE.

abc: 5.399 5.399 9.632
angles: 90.00 90.00 90.00
Atoms (fractional coordinates):
Be  0.000  0.000  0.000
Be  0.000  0.500  0.250
Be  0.500  0.000  0.750
Be  0.500  0.500  0.500
Nb  0.000  0.000  0.500
Nb  0.000  0.500  0.750
Nb  0.500  0.000  0.250
Nb  0.500  0.500  0.000
Cl  0.175  0.250  0.125
Cl  0.250  0.675  0.375
Cl  0.250  0.825  0.875
Cl  0.325  0.250  0.625
Cl  0.675  0.750  0.625
Cl  0.750  0.175  0.875
Cl  0.750  0.325  0.375
Cl  0.825  0.750  0.125

Values from the calculation:
Total magnetic moment   0.250 μB/atom
Calculated density   4.089 g/cm3
Crystal system   tetragonal
N(E_F)   5.11 states/eV/cell

---

Version c
This record from Alexandria via LeMat-Bulk describes a geometry-optimized BeNbCl2 structure. The functional is GGA-PBE.

abc: 3.084 3.084 26.408
angles: 90.00 90.00 120.00
Atoms (fractional coordinates):
Be  0.000  0.000  0.000
Be  0.333  0.667  0.667
Be  0.667  0.333  0.333
Nb  0.000  0.000  0.500
Nb  0.333  0.667  0.167
Nb  0.667  0.333  0.833
Cl  0.000  0.000  0.097
Cl  0.000  0.000  0.903
Cl  0.333  0.667  0.569
Cl  0.333  0.667  0.764
Cl  0.667  0.333  0.236
Cl  0.667  0.333  0.431

Values from the calculation:
Total magnetic moment   0.000 μB/atom
Calculated density   3.958 g/cm3
Crystal system   trigonal
N(E_F)   3.52 states/eV/cell

---

Quick one: most stable of them? version c

---

Version a
This record from Alexandria via LeMat-Bulk describes a geometry-optimized BeNiCl3 structure. The functional is GGA-PBE.

abc: 4.601 4.601 4.601
angles: 90.00 90.00 90.00
Atoms (fractional coordinates):
Be  0.000  0.000  0.000
Ni  0.500  0.500  0.500
Cl  0.000  0.500  0.500
Cl  0.500  0.000  0.500
Cl  0.500  0.500  0.000

Values from the calculation:
Total magnetic moment   0.000 μB/atom
Calculated density   2.968 g/cm3
Crystal system   cubic
N(E_F)   2.70 states/eV/cell

---

Version b
This record from Alexandria via LeMat-Bulk describes a geometry-optimized BeNiCl3 structure. The functional is GGA-PBE.

abc: 4.491 4.491 4.491
angles: 90.00 90.00 90.00
Atoms (fractional coordinates):
Be  0.000  0.000  0.000
Ni  0.500  0.500  0.500
Cl  0.000  0.000  0.500
Cl  0.000  0.500  0.000
Cl  0.500  0.000  0.000

Values from the calculation:
Total magnetic moment   0.206 μB/atom
Calculated density   3.192 g/cm3
Crystal system   cubic
N(E_F)   28.32 states/eV/cell

---

Quick one: most stable of them? version b

---

Version a
This record from Alexandria via LeMat-Bulk describes a geometry-optimized BeNiSCl2 structure. The functional is GGA-PBE.

abc: 4.434 4.434 4.753
angles: 90.00 90.00 90.00
Atoms (fractional coordinates):
Be  0.000  0.000  0.000
Ni  0.500  0.500  0.500
S  0.500  0.500  0.000
Cl  0.000  0.500  0.500
Cl  0.500  0.000  0.500

Values from the calculation:
Total magnetic moment   0.000 μB/atom
Calculated density   3.034 g/cm3
Crystal system   tetragonal
N(E_F)   3.38 states/eV/cell

---

Version b
This record from Alexandria via LeMat-Bulk describes a geometry-optimized BeNiSCl2 structure. The functional is GGA-PBE.

abc: 4.141 4.141 5.280
angles: 90.00 90.00 90.00
Atoms (fractional coordinates):
Be  0.000  0.000  0.000
Ni  0.500  0.500  0.500
S  0.000  0.000  0.500
Cl  0.000  0.500  0.000
Cl  0.500  0.000  0.000

Values from the calculation:
Total magnetic moment   0.323 μB/atom
Calculated density   3.130 g/cm3
Crystal system   tetragonal
N(E_F)   4.33 states/eV/cell

---

Quick one: most stable of them? version b

---

Version a
This record from Alexandria via LeMat-Bulk describes a geometry-optimized BeNiS2Cl structure. The functional is GGA-PBE.

abc: 4.462 4.462 4.506
angles: 90.00 90.00 90.00
Atoms (fractional coordinates):
Be  0.000  0.000  0.000
Ni  0.500  0.500  0.500
S  0.000  0.500  0.500
S  0.500  0.000  0.500
Cl  0.500  0.500  0.000

Values from the calculation:
Total magnetic moment   0.000 μB/atom
Calculated density   3.096 g/cm3
Crystal system   tetragonal
N(E_F)   4.16 states/eV/cell

---

Version b
This record from Alexandria via LeMat-Bulk describes a geometry-optimized BeNiS2Cl structure. The functional is GGA-PBE.

abc: 4.298 4.298 4.513
angles: 90.00 90.00 90.00
Atoms (fractional coordinates):
Be  0.000  0.000  0.000
Ni  0.500  0.500  0.500
S  0.000  0.500  0.000
S  0.500  0.000  0.000
Cl  0.000  0.000  0.500

Values from the calculation:
Total magnetic moment   0.391 μB/atom
Calculated density   3.331 g/cm3
Crystal system   tetragonal
N(E_F)   4.52 states/eV/cell

---

Quick one: most stable of them? version b

---

Version a
This record from Alexandria via LeMat-Bulk describes a geometry-optimized BeCl3O structure. The functional is GGA-PBE.

abc: 4.487 4.487 4.487
angles: 90.00 90.00 90.00
Atoms (fractional coordinates):
Be  0.000  0.000  0.000
Cl  0.000  0.000  0.500
Cl  0.000  0.500  0.000
Cl  0.500  0.000  0.000
O  0.500  0.500  0.500

Values from the calculation:
Total magnetic moment   0.600 μB/atom
Calculated density   2.415 g/cm3
Crystal system   cubic
N(E_F)   5.14 states/eV/cell

---

Version b
This record from Alexandria via LeMat-Bulk describes a geometry-optimized BeCl3O structure. The functional is GGA-PBE.

abc: 4.449 4.449 4.449
angles: 90.00 90.00 90.00
Atoms (fractional coordinates):
Be  0.000  0.000  0.000
Cl  0.000  0.500  0.500
Cl  0.500  0.000  0.500
Cl  0.500  0.500  0.000
O  0.500  0.500  0.500

Values from the calculation:
Total magnetic moment   0.000 μB/atom
Calculated density   2.477 g/cm3
Crystal system   cubic
N(E_F)   2.16 states/eV/cell

---

Quick one: most stable of them? version a

---

Version a
This record from Alexandria via LeMat-Bulk describes a geometry-optimized Be2OsCl2 structure. The functional is GGA-PBE.

abc: 6.597 6.597 4.171
angles: 90.00 90.00 90.00
Atoms (fractional coordinates):
Be  0.230  0.270  0.000
Be  0.270  0.770  0.000
Be  0.730  0.230  0.000
Be  0.770  0.730  0.000
Os  0.000  0.000  0.000
Os  0.500  0.500  0.000
Cl  0.179  0.321  0.500
Cl  0.321  0.821  0.500
Cl  0.679  0.179  0.500
Cl  0.821  0.679  0.500

Values from the calculation:
Total magnetic moment   0.425 μB/atom
Calculated density   5.107 g/cm3
Crystal system   tetragonal
N(E_F)   8.47 states/eV/cell

---

Version b
This record from Alexandria via LeMat-Bulk describes a geometry-optimized Be2OsCl2 structure. The functional is GGA-PBE.

abc: 3.907 3.907 10.004
angles: 90.00 90.00 90.00
Atoms (fractional coordinates):
Be  0.000  0.000  0.110
Be  0.000  0.000  0.890
Be  0.500  0.500  0.390
Be  0.500  0.500  0.610
Os  0.000  0.000  0.500
Os  0.500  0.500  0.000
Cl  0.000  0.500  0.250
Cl  0.000  0.500  0.750
Cl  0.500  0.000  0.250
Cl  0.500  0.000  0.750

Values from the calculation:
Total magnetic moment   0.465 μB/atom
Calculated density   6.070 g/cm3
Crystal system   tetragonal
N(E_F)   8.45 states/eV/cell

---

Quick one: most stable of them? version a

---

Version a
This record from Alexandria via LeMat-Bulk describes a geometry-optimized Be2OsCl structure. The functional is GGA-PBE.

abc: 2.825 4.736 9.336
angles: 90.00 90.00 90.00
Atoms (fractional coordinates):
Be  0.000  0.000  0.000
Be  0.000  0.500  0.210
Be  0.500  0.000  0.210
Be  0.500  0.500  0.000
Os  0.000  0.500  0.806
Os  0.500  0.000  0.806
Cl  0.000  0.000  0.360
Cl  0.500  0.500  0.360

Values from the calculation:
Total magnetic moment   0.000 μB/atom
Calculated density   6.478 g/cm3
Crystal system   orthorhombic
N(E_F)   4.14 states/eV/cell

---

Version b
This record from Alexandria via LeMat-Bulk describes a geometry-optimized Be2OsCl structure. The functional is GGA-PBE.

abc: 3.003 3.003 5.758
angles: 90.00 90.00 90.00
Atoms (fractional coordinates):
Be  0.000  0.000  0.182
Be  0.000  0.000  0.818
Os  0.500  0.500  0.000
Cl  0.500  0.500  0.500

Values from the calculation:
Total magnetic moment   0.000 μB/atom
Calculated density   7.791 g/cm3
Crystal system   tetragonal
N(E_F)   2.08 states/eV/cell

---

Quick one: most stable of them? version b

---

Version a
This record from Alexandria via LeMat-Bulk describes a geometry-optimized Be3OsCl structure. The functional is GGA-PBE.

abc: 4.319 4.319 4.319
angles: 90.00 90.00 90.00
Atoms (fractional coordinates):
Be  0.000  0.000  0.500
Be  0.000  0.500  0.000
Be  0.500  0.000  0.000
Os  0.000  0.000  0.000
Cl  0.500  0.500  0.500

Values from the calculation:
Total magnetic moment   0.000 μB/atom
Calculated density   5.210 g/cm3
Crystal system   cubic
N(E_F)   3.77 states/eV/cell

---

Version b
This record from Alexandria via LeMat-Bulk describes a geometry-optimized Be3OsCl structure. The functional is GGA-PBE.

abc: 3.958 3.958 3.958
angles: 90.00 90.00 90.00
Atoms (fractional coordinates):
Be  0.000  0.000  0.500
Be  0.000  0.500  0.000
Be  0.500  0.000  0.000
Os  0.500  0.500  0.500
Cl  0.000  0.000  0.000

Values from the calculation:
Total magnetic moment   0.000 μB/atom
Calculated density   6.771 g/cm3
Crystal system   cubic
N(E_F)   2.78 states/eV/cell

---

Quick one: most stable of them? version a